one | Tl3Hg8Pb: optimized geometry, PBE-GGA.

Computed properties:
For the size of the total moment, the calculation gives 0.00 μB per formula unit.

Cell: 11.1157 10.2185 8.6526 Å, 90.00 129.91 90.00°
Space group Cm (No. 8)
Inequivalent atoms, fractional coordinates:
Tl 0.0000 0.0000 0.0000
Tl 0.3732 0.2490 0.4991
Hg 0.0072 0.2476 0.2414
Hg 0.1009 0.0000 0.7365
Hg 0.1068 0.5000 0.7492
Hg 0.2640 0.2517 0.7556
Hg 0.3548 0.5000 0.2494
Hg 0.3647 0.0000 0.2604
Pb 0.4906 0.0000 0.9963


two | Tl3Hg8Pb: optimized geometry, PBE-GGA.

Computed properties:
For the size of the total moment, the calculation gives 0.00 μB per formula unit.

Cell: 6.0685 6.0685 10.6189 Å, 90.00 90.00 120.00°
Space group P3m1 (No. 156)
Inequivalent atoms, fractional coordinates:
Tl 0.0000 0.0000 0.0000
Tl 0.0000 0.0000 0.3726
Tl 0.3333 0.6667 0.8668
Hg 0.0068 0.5034 0.1839
Hg 0.3282 0.1641 0.6832
Hg 0.6667 0.3333 0.4324
Hg 0.6667 0.3333 0.9355
Pb 0.3333 0.6667 0.5022


Which of them is the most stable, and which is the least stable? two and one, in that order.


one | TlHg2Pb5: optimized geometry, PBE-GGA.

Computed properties:
For the size of the total moment, the calculation gives 0.00 μB per formula unit.

Cell: 9.8111 9.7762 6.9764 Å, 90.00 134.59 90.00°
Space group C2/m (No. 12)
Inequivalent atoms, fractional coordinates:
Tl 0.0000 0.0000 0.0000
Hg 0.2500 0.2500 0.0000
Pb 0.0000 0.0000 0.5000
Pb 0.0000 0.5000 0.0000
Pb 0.0000 0.5000 0.5000
Pb 0.2500 0.2500 0.5000


two | TlHg2Pb5: optimized geometry, PBE-GGA.

Computed properties:
For the size of the total moment, the calculation gives 0.00 μB per formula unit.

Cell: 8.2315 8.2315 14.2752 Å, 90.00 90.00 90.00°
Space group I4/mcm (No. 140)
Inequivalent atoms, fractional coordinates:
Tl 0.0000 0.0000 0.2500
Hg 0.1442 0.3558 0.0000
Pb 0.0000 0.0000 0.0000
Pb 0.1489 0.3511 0.3403


Which of them is the most stable, and which is the least stable? one and two, in that order.


one | Tl3Hg7Pb: optimized geometry, PBE-GGA.

Computed properties:
For the size of the total moment, the calculation gives 0.00 μB per formula unit.

Cell: 3.5418 32.3486 12.0808 Å, 90.00 90.00 90.00°
Space group Cmcm (No. 63)
Inequivalent atoms, fractional coordinates:
Tl 0.0000 0.0963 0.1021
Tl 0.0000 0.2034 0.7500
Hg 0.0000 0.2804 0.5933
Hg 0.0000 0.3501 0.0745
Hg 0.0000 0.4627 0.0685
Hg 0.0000 0.4725 0.7500
Pb 0.0000 0.0876 0.7500


two | Tl3Hg7Pb: optimized geometry, PBE-GGA.

Computed properties:
For the size of the total moment, the calculation gives 0.00 μB per formula unit.

Cell: 10.4650 11.5419 6.1626 Å, 90.00 114.90 90.00°
Space group C2/m (No. 12)
Inequivalent atoms, fractional coordinates:
Tl 0.0000 0.0000 0.0000
Tl 0.0000 0.2299 0.5000
Hg 0.0000 0.5000 0.5000
Hg 0.1680 0.2481 0.1554
Hg 0.1958 0.0000 0.5705
Pb 0.0000 0.5000 0.0000


Which of them is the most stable, and which is the least stable? one and two, in that order.


one | TlHg3Pb: optimized geometry, PBE-GGA.

Computed properties:
For the size of the total moment, the calculation gives 0.00 μB per formula unit.

Cell: 6.6332 7.5616 6.0588 Å, 90.00 90.00 90.00°
Space group Pmma (No. 51)
Inequivalent atoms, fractional coordinates:
Tl 0.2500 0.0000 0.2425
Hg 0.2500 0.1927 0.7417
Hg 0.2500 0.5000 0.0551
Pb 0.0000 0.5000 0.5000


two | TlHg3Pb: optimized geometry, PBE-GGA.

Computed properties:
For the size of the total moment, the calculation gives 0.00 μB per formula unit.

Cell: 5.8829 5.8829 5.8829 Å, 90.00 90.00 90.00°
Space group Pm-3m (No. 221)
Inequivalent atoms, fractional coordinates:
Tl 0.0000 0.0000 0.0000
Hg 0.0000 0.5000 0.5000
Pb 0.5000 0.5000 0.5000


Which of them is the most stable, and which is the least stable? one and two, in that order.


one | TmHgPb3: optimized geometry, PBE-GGA.

Computed properties:
For the size of the total moment, the calculation gives 0.00 μB per formula unit.

Cell: 3.5988 3.6526 11.2946 Å, 99.02 99.11 90.53°
Space group P1 (No. 1)
Inequivalent atoms, fractional coordinates:
Tm 0.0000 0.0000 0.0000
Hg 0.8036 0.7998 0.6096
Pb 0.2123 0.1850 0.4162
Pb 0.4021 0.4050 0.8063
Pb 0.5983 0.5918 0.1947


two | TmHgPb3: optimized geometry, PBE-GGA.

Computed properties:
For the size of the total moment, the calculation gives 0.00 μB per formula unit.

Cell: 3.6435 9.4352 9.1074 Å, 90.00 95.82 90.00°
Space group P2_1/m (No. 11)
Inequivalent atoms, fractional coordinates:
Tm 0.0006 0.2500 0.0068
Hg 0.1903 0.2500 0.3541
Pb 0.2855 0.7500 0.3591
Pb 0.3957 0.5040 0.8215


Which of them is the most stable, and which is the least stable? two and one, in that order.